Density functional theory data (PBE-GGA) for a relaxed structure of ScCoNi2.

E_form = -0.128 eV per atom
M_tot = 0.453 μB/atom
total energy = -6.378 eV/atom
calculated density = 6.96 g/cm³
symmetry = No. 25

a b c (Å): 2.8334 3.3944 5.4855
angles (deg): 90.00 90.00 90.00
With the nearest neighbours (Å) after each atom.
Fractional coordinates of all 4 atoms:
Sc1 0.0000 0.0000 0.0000  6 Ni 2.66-2.78, 4 Co 2.74, 2 Sc 2.83
Co1 0.5000 0.5000 0.2938  5 Ni 2.40-2.47
Ni1 0.0000 0.0000 0.4939  4 Co 2.47, 4 Ni 2.57, 1 Sc 2.71
Ni2 0.5000 0.5000 0.7314  1 Co 2.40, 4 Ni 2.57, 4 Sc 2.66



Density functional theory data (PBE-GGA) for a relaxed structure of Sc6Co5Ni.

E_form = -0.383 eV per atom
M_tot = 0.096 μB/atom
total energy = -6.991 eV/atom
calculated density = 5.61 g/cm³
symmetry = No. 65

a b c (Å): 6.9756 6.9756 6.3144
angles (deg): 90.00 90.00 143.13
With the nearest neighbours (Å) after each atom.
Fractional coordinates of all 12 atoms:
Sc1 0.0000 0.0000 0.2470  6 Co 2.70-2.72, 2 Ni 2.72
Sc2 0.0000 0.0000 0.7530  6 Co 2.70-2.72, 2 Ni 2.72
Sc3 0.3322 0.6678 0.2489  7 Co 2.70-2.72, 1 Ni 2.73
Sc4 0.3322 0.6678 0.7511  7 Co 2.70-2.72, 1 Ni 2.73
Sc5 0.6678 0.3322 0.2489  7 Co 2.70-2.72, 1 Ni 2.73
Sc6 0.6678 0.3322 0.7511  7 Co 2.70-2.72, 1 Ni 2.73
Co1 0.1663 0.8337 0.0000  8 Sc 2.70-2.71
Co2 0.1663 0.8337 0.5000  8 Sc 2.71-2.72
Co3 0.5000 0.5000 0.0000  8 Sc 2.70-2.72
Co4 0.8337 0.1663 0.0000  8 Sc 2.70-2.71
Co5 0.8337 0.1663 0.5000  8 Sc 2.71-2.72
Ni1 0.5000 0.5000 0.5000  8 Sc 2.72-2.73



Density functional theory data (PBE-GGA) for a relaxed structure of ScCoNi2.

E_form = -0.217 eV per atom
M_tot = 0.467 μB/atom
total energy = -6.467 eV/atom
calculated density = 7.08 g/cm³
symmetry = No. 139

a b c (Å): 4.5580 4.5580 4.5580
angles (deg): 131.59 131.59 70.87
With the nearest neighbours (Å) after each atom.
Fractional coordinates of all 4 atoms:
Sc1 0.0000 0.0000 0.0000  8 Ni 2.63, 4 Co 2.64
Co1 0.5000 0.5000 0.0000  8 Ni 2.63, 4 Sc 2.64
Ni1 0.2500 0.7500 0.5000  4 Co 2.63, 4 Sc 2.63, 4 Ni 2.64
Ni2 0.7500 0.2500 0.5000  4 Co 2.63, 4 Sc 2.63, 4 Ni 2.64



Density functional theory data (PBE-GGA) for a relaxed structure of Sc2Co2SiNi5.

M_tot = 0.206 μB/atom
E_form (uncorrected) = -0.31 eV/atom
total energy = -6.429 eV/atom
calculated density = 6.81 g/cm³
symmetry = No. 127

a b c (Å): 8.4028 8.4028 3.6548
angles (deg): 90.00 90.00 90.00
With the nearest neighbours (Å) after each atom.
Fractional coordinates of all 20 atoms:
Sc1 0.1709 0.3291 0.0000  3 Co 2.38-2.55
Sc2 0.3291 0.8291 0.0000  3 Co 2.38-2.55
Sc3 0.6709 0.1709 0.0000  3 Co 2.38-2.55
Sc4 0.8291 0.6709 0.0000  3 Co 2.38-2.55
Co1 0.1292 0.6292 0.0000  3 Sc 2.38-2.55, 6 Ni 2.39
Co2 0.3708 0.1292 0.0000  3 Sc 2.38-2.55, 6 Ni 2.39
Co3 0.6292 0.8708 0.0000  3 Sc 2.38-2.55, 6 Ni 2.39
Co4 0.8708 0.3708 0.0000  3 Sc 2.38-2.55, 6 Ni 2.39
Si1 0.0000 0.0000 0.0000  8 Ni 2.54
Si2 0.5000 0.5000 0.0000  8 Ni 2.54
Ni1 0.0000 0.5000 0.5000  4 Co 2.39, 4 Ni 2.58
Ni2 0.0650 0.7999 0.5000  2 Co 2.39, 3 Ni 2.50-2.58, 2 Si 2.54
Ni3 0.2001 0.0650 0.5000  2 Co 2.39, 3 Ni 2.50-2.58, 2 Si 2.54
Ni4 0.2999 0.5650 0.5000  2 Co 2.39, 3 Ni 2.50-2.58, 2 Si 2.54
Ni5 0.4350 0.2999 0.5000  2 Co 2.39, 3 Ni 2.50-2.58, 2 Si 2.54
Ni6 0.5000 0.0000 0.5000  4 Co 2.39, 4 Ni 2.58
Ni7 0.5650 0.7001 0.5000  2 Co 2.39, 3 Ni 2.50-2.58, 2 Si 2.54
Ni8 0.7001 0.4350 0.5000  2 Co 2.39, 3 Ni 2.50-2.58, 2 Si 2.54
Ni9 0.7999 0.9350 0.5000  2 Co 2.39, 3 Ni 2.50-2.58, 2 Si 2.54
Ni10 0.9350 0.2001 0.5000  2 Co 2.39, 3 Ni 2.50-2.58, 2 Si 2.54



Density functional theory data (PBE-GGA) for a relaxed structure of Sc2Co5Si2Ni.

M_tot = 0.170 μB/atom
E_form (uncorrected) = -0.38 eV/atom
total energy = -6.864 eV/atom
calculated density = 6.39 g/cm³
symmetry = No. 127

a b c (Å): 8.9413 8.9413 3.2470
angles (deg): 90.00 90.00 90.00
With the nearest neighbours (Å) after each atom.
Fractional coordinates of all 20 atoms:
Sc1 0.1745 0.3255 0.0000  3 Si 2.54-2.71, 2 Co 2.74
Sc2 0.3255 0.8255 0.0000  3 Si 2.54-2.71, 2 Co 2.74
Sc3 0.6745 0.1745 0.0000  3 Si 2.54-2.71, 2 Co 2.74
Sc4 0.8255 0.6745 0.0000  3 Si 2.54-2.71, 2 Co 2.74
Co1 0.0000 0.5000 0.5000  4 Si 2.26
Co2 0.0647 0.7941 0.5000  2 Si 2.29, 2 Ni 2.52
Co3 0.2059 0.0647 0.5000  2 Si 2.29, 2 Ni 2.52
Co4 0.2941 0.5647 0.5000  2 Si 2.29, 2 Ni 2.52
Co5 0.4353 0.2941 0.5000  2 Si 2.29, 2 Ni 2.52
Co6 0.5000 0.0000 0.5000  4 Si 2.26
Co7 0.5647 0.7059 0.5000  2 Si 2.29, 2 Ni 2.52
Co8 0.7059 0.4353 0.5000  2 Si 2.29, 2 Ni 2.52
Co9 0.7941 0.9353 0.5000  2 Si 2.29, 2 Ni 2.52
Co10 0.9353 0.2059 0.5000  2 Si 2.29, 2 Ni 2.52
Si1 0.1242 0.6242 0.0000  6 Co 2.26-2.29
Si2 0.3758 0.1242 0.0000  6 Co 2.26-2.29
Si3 0.6242 0.8758 0.0000  6 Co 2.26-2.29
Si4 0.8758 0.3758 0.0000  6 Co 2.26-2.29
Ni1 0.0000 0.0000 0.0000  8 Co 2.52
Ni2 0.5000 0.5000 0.0000  8 Co 2.52



Density functional theory data (PBE-GGA) for a relaxed structure of Sc2CoNiSn.

E_form = 0.049 eV per atom
M_tot = 0.000 μB/atom
total energy = -5.861 eV/atom
calculated density = 5.24 g/cm³
symmetry = No. 123

a b c (Å): 4.6856 4.6856 4.7105
angles (deg): 90.00 90.00 90.00
With the nearest neighbours (Å) after each atom.
Fractional coordinates of all 5 atoms:
Sc1 0.0000 0.5000 0.0000  2 Co 2.34
Sc2 0.5000 0.0000 0.0000  2 Co 2.34
Co1 0.0000 0.0000 0.0000  4 Sc 2.34, 2 Sn 2.36
Ni1 0.5000 0.5000 0.5000  4 Sn 3.31, 8 Sc 3.32
Sn1 0.0000 0.0000 0.5000  2 Co 2.36



Density functional theory data (PBE-GGA) for a relaxed structure of ScCoNiSn.

E_form = -0.448 eV per atom
M_tot = 0.028 μB/atom
total energy = -6.254 eV/atom
calculated density = 7.71 g/cm³
symmetry = No. 216

a b c (Å): 4.4090 4.4090 4.4090
angles (deg): 60.00 60.00 60.00
With the nearest neighbours (Å) after each atom.
Fractional coordinates of all 4 atoms:
Sc1 0.0000 0.0000 0.0000  4 Co 2.70, 4 Ni 2.70
Co1 0.7500 0.7500 0.7500  4 Sn 2.70, 4 Sc 2.70
Ni1 0.2500 0.2500 0.2500  4 Sn 2.70, 4 Sc 2.70
Sn1 0.5000 0.5000 0.5000  4 Co 2.70, 4 Ni 2.70



Density functional theory data (PBE-GGA) for a relaxed structure of ScTaCoNi.

E_form = -0.238 eV per atom
M_tot = 0.000 μB/atom
total energy = -8.005 eV/atom
calculated density = 9.59 g/cm³
symmetry = No. 216

a b c (Å): 4.3810 4.3810 4.3810
angles (deg): 60.00 60.00 60.00
With the nearest neighbours (Å) after each atom.
Fractional coordinates of all 4 atoms:
Sc1 0.0000 0.0000 0.0000  4 Co 2.68, 4 Ni 2.68
Ta1 0.5000 0.5000 0.5000  4 Co 2.68, 4 Ni 2.68
Co1 0.7500 0.7500 0.7500  4 Ta 2.68, 4 Sc 2.68
Ni1 0.2500 0.2500 0.2500  4 Ta 2.68, 4 Sc 2.68



- Which value of M_tot does entry 3 give?
  0.467 μB/atom



- Which formula does entry 2 have?
  Sc6Co5Ni



- Among the records above, which one has the highest total energy?
  Sc2CoNiSn



- Among the records above, which one has the lowest total energy?
  ScTaCoNi